DFT (PBE-GGA) results for BeCoRh2 after structural relaxation.

Lattice parameters (Å, degrees): 2.7795 4.3445 8.0424 90.00 90.00 90.00
Space group Immm (No. 71)
One atom of each set of equivalent atoms:
Be 0.0000 0.0000 0.0000 x2
Co 0.0000 0.0000 0.5000 x2
Rh 0.0000 0.5000 0.2791 x4

Results
Energy relative to the elements (eV/atom): -0.109
DOS at the Fermi energy (states/eV/cell): 7.31

***

DFT (PBE-GGA) results for BeCoRh2 after structural relaxation.

Lattice parameters (Å, degrees): 2.9042 3.9041 4.3922 90.00 90.00 90.00
Space group Pmmm (No. 47)
One atom of each set of equivalent atoms:
Be 0.0000 0.0000 0.0000 x1
Co 0.5000 0.0000 0.5000 x1
Rh 0.0000 0.5000 0.5000 x1
Rh 0.5000 0.5000 0.0000 x1

Results
Energy relative to the elements (eV/atom): 0.018
DOS at the Fermi energy (states/eV/cell): 3.82